Record 1
Tb16Dy7Er6 | GGA-PBE | optimized geometry

Lattice parameters (Å, degrees): 11.068 11.068 11.068 60.00 60.00 60.00
Atoms (fractional coordinates):
Tb 0.876 0.876 0.371
Tb 0.876 0.876 0.876
Tb 0.876 0.371 0.876
Tb 0.371 0.876 0.876
Tb 0.124 0.124 0.124
Tb 0.124 0.124 0.629
Tb 0.124 0.629 0.124
Tb 0.629 0.124 0.124
Tb 0.651 0.651 0.047
Tb 0.651 0.651 0.651
Tb 0.651 0.047 0.651
Tb 0.047 0.651 0.651
Tb 0.349 0.349 0.349
Tb 0.349 0.349 0.953
Tb 0.349 0.953 0.349
Tb 0.953 0.349 0.349
Dy 0.000 0.000 0.000
Dy 0.500 0.000 0.500
Dy 0.000 0.500 0.000
Dy 0.000 0.500 0.500
Dy 0.500 0.000 0.000
Dy 0.000 0.000 0.500
Dy 0.500 0.500 0.000
Er 0.273 0.727 0.273
Er 0.727 0.273 0.727
Er 0.727 0.273 0.273
Er 0.273 0.727 0.727
Er 0.727 0.727 0.273
Er 0.273 0.273 0.727

---

Record 2
PbW2SN | GGA-PBE | optimized geometry

Lattice parameters (Å, degrees): 4.035 5.913 4.035 90.00 90.00 90.00
Atoms (fractional coordinates):
Pb 0.000 0.500 0.000
S 0.500 0.500 0.500
W 0.000 0.000 0.500
W 0.500 0.000 0.000
N 0.000 0.000 0.000

Properties
Formation energy from raw total energies ... 0.814 eV per atom

---

Record 3
Ta2OsSe | GGA-PBE | optimized geometry

Lattice parameters (Å, degrees): 3.901 3.119 5.760 74.39 90.00 90.00
Atoms (fractional coordinates):
Os 0.000 0.697 0.479
Se 0.500 0.543 0.788
Ta 0.000 0.957 0.961
Ta 0.500 0.303 0.272

Properties
Formation energy from raw total energies ... -0.037 eV per atom

---

Record 4
TaFeSi | GGA-PBE | optimized geometry

Lattice parameters (Å, degrees): 3.649 4.906 5.283 74.68 69.80 68.17
Atoms (fractional coordinates):
Ta 0.941 0.816 0.303
Ta 0.059 0.184 0.697
Fe 0.333 0.260 0.074
Fe 0.667 0.740 0.926
Si 0.660 0.380 0.299
Si 0.340 0.620 0.701

Properties
Formation energy from raw total energies ... -0.487 eV per atom

---

Record 5
RhAuBr2 | GGA-PBE | optimized geometry

Lattice parameters (Å, degrees): 8.040 6.244 3.302 58.16 114.13 138.76
Atoms (fractional coordinates):
Rh 0.000 0.500 0.500
Au 0.500 0.500 0.000
Br 0.000 0.000 0.000
Br 0.500 0.000 0.500

Properties
Formation energy from raw total energies ... 0.444 eV per atom

---

Record 6
Cu4SbAu | GGA-PBE | optimized geometry

Lattice parameters (Å, degrees): 5.024 5.024 5.024 60.00 60.00 60.00
Atoms (fractional coordinates):
Au 0.000 0.000 0.000
Cu 0.124 0.625 0.625
Cu 0.625 0.625 0.625
Cu 0.625 0.124 0.625
Cu 0.625 0.625 0.124
Sb 0.250 0.250 0.250

Properties
Formation energy from raw total energies ... 0.052 eV per atom

---

Record 7
LiMnAg3 | GGA-PBE | optimized geometry

Lattice parameters (Å, degrees): 5.008 5.008 5.008 90.00 90.00 90.00
Last column: magnetic moment on the atom in μB.
Atoms (fractional coordinates):
Mn 0.000 0.000 0.000  3.95
Ag 0.000 0.500 0.000  0.07
Ag 0.000 0.000 0.500  0.09
Ag 0.500 0.000 0.000  0.06
Li 0.500 0.500 0.500  -0.01

---

Record 8
CaCrCl2 | GGA-PBE | optimized geometry

Lattice parameters (Å, degrees): 10.143 10.143 10.143 21.98 21.98 21.98
Last column: magnetic moment on the atom in μB.
Atoms (fractional coordinates):
Cr 0.000 0.000 0.000  4.29
Ca 0.500 0.500 0.500  0.01
Cl 0.885 0.885 0.885  0.01
Cl 0.115 0.115 0.115  0.01

Properties
Formation energy from raw total energies ... -0.927 eV per atom

---

Calculated total energy / eV/atom: -4.3697, -7.5998, -9.6420, -9.0668, -3.0496, -3.9122, -3.2689, -4.7568